Here is an optimized crystal structure of MnHO2 from Alexandria. Energies are from PBE+U.

Cell: 4.519 4.519 4.623 Å, 60.74 60.74 90.00°
Last column: magnetic moment on the atom in μB.
Fractional positions:
H (0.500, 0.500, 0.000)  0.02
H (0.250, 0.750, 0.500)  0.02
Mn (0.000, 0.000, 0.000)  3.98
Mn (0.750, 0.250, 0.500)  3.98
O (0.574, 0.125, 0.250)  -0.08
O (0.176, 0.625, 0.250)  -0.08
O (0.375, 0.426, 0.750)  -0.08
O (0.875, 0.824, 0.750)  -0.07

Fermi-level density of states ... 0.084 states/eV/f.u.
Total magnetic moment ... 8.00 μB per cell
Raw total energy ... -5.785 eV per atom